Here is CaHg4Pd2Pb after structural relaxation from the Alexandria database. Energies are from PBE.

Results
Space-group type: P4/mmm (123)
Energy of formation from the pure elements, eV/atom: -0.11
Uncorrected energy, eV/cell: -18.155

POSCAR file:
```
CaHg4Pd2Pb
1.0
4.195 0.000 0.000
0.000 4.195 0.000
0.000 0.000 11.466
Ca Hg Pd Pb
1 4 2 1
Direct
0.000 0.000 0.000 Ca
0.000 0.500 0.214 Hg
0.000 0.500 0.786 Hg
0.500 0.000 0.214 Hg
0.500 0.000 0.786 Hg
0.500 0.500 0.385 Pd
0.500 0.500 0.615 Pd
0.000 0.000 0.500 Pb
```